## Ac3Zn2Au7 (PBE-GGA)

Data for a geometry-optimized Ac3Zn2Au7 structure.

Cell lengths 14.969, 14.969, 14.969 Å; angles 162.75, 162.75, 24.49 degrees
Fractional positions:
Ac 0.000 0.000 0.000
Ac 0.174 0.174 0.000
Ac 0.826 0.826 0.000
Zn 0.372 0.372 0.000
Zn 0.628 0.628 0.000
Au 0.082 0.582 0.500
Au 0.283 0.283 0.000
Au 0.418 0.918 0.500
Au 0.500 0.500 0.000
Au 0.582 0.082 0.500
Au 0.717 0.717 0.000
Au 0.918 0.418 0.500

Summary:
SG = I4/mmm
DFT formation energy = -0.573 eV per atom
Theoretical density = 12.34 Mg/m³
Electronic total energy = -44.7 eV/cell

=====

## Ac2Zn6Au9 (PBE-GGA)

Data for a geometry-optimized Ac2Zn6Au9 structure.

Cell lengths 5.869, 5.869, 12.432 Å; angles 90.00, 90.00, 120.00 degrees
Fractional positions:
Ac 0.000 0.000 0.185
Ac 0.000 0.000 0.815
Zn 0.333 0.667 0.166
Zn 0.333 0.667 0.500
Zn 0.333 0.667 0.834
Zn 0.667 0.333 0.166
Zn 0.667 0.333 0.500
Zn 0.667 0.333 0.834
Au 0.000 0.500 0.000
Au 0.000 0.500 0.335
Au 0.000 0.500 0.665
Au 0.500 0.000 0.000
Au 0.500 0.000 0.335
Au 0.500 0.000 0.665
Au 0.500 0.500 0.000
Au 0.500 0.500 0.335
Au 0.500 0.500 0.665

Summary:
SG = P6/mmm
DFT formation energy = -0.352 eV per atom
Theoretical density = 11.73 Mg/m³
Electronic total energy = -51.3 eV/cell